#A
TlSnAuSe3, optimized geometry, DFT PBE-GGA; mass density = 7.83 g cm⁻³; space-group type = Pnma (62)
1.0
-5.528 8.079 -0.203
-3.377 -2.291 0.777
2.256 1.933 15.496
Au Se Sn Tl
4 12 4 4
Cartesian
-4.713 5.931 2.557 Au
-1.554 2.230 5.370 Au
-5.095 5.490 10.701 Au
-1.936 1.789 13.514 Au
-4.564 4.942 0.288 Se
-7.720 6.418 2.029 Se
-2.267 2.478 3.007 Se
-4.742 6.766 4.893 Se
-4.307 2.934 6.588 Se
-0.740 1.811 7.674 Se
-5.909 5.908 8.397 Se
-2.342 4.785 9.482 Se
-1.908 0.954 11.177 Se
-4.382 5.242 13.064 Se
1.071 1.302 14.042 Se
-2.085 2.778 15.782 Se
-1.607 0.808 0.950 Sn
-3.473 5.617 7.021 Sn
-3.176 2.103 9.050 Sn
-5.042 6.912 15.121 Sn
-5.138 3.139 3.585 Tl
-2.153 -0.710 5.206 Tl
-4.496 8.430 10.865 Tl
-1.511 4.581 12.485 Tl

#B
TlSnAuSe3, optimized geometry, DFT PBE-GGA; mass density = 7.96 g cm⁻³; space-group type = Cmcm (63)
1.0
-3.931 -6.090 1.538
-1.847 -6.956 -1.763
8.314 -3.790 6.245
Au Se Sn Tl
2 6 2 2
Cartesian
-0.041 -5.732 1.479 Au
2.576 -11.104 4.541 Au
-1.884 -4.846 0.082 Se
1.852 -1.459 1.552 Se
1.837 -6.542 2.877 Se
0.699 -10.294 3.143 Se
0.684 -15.378 4.467 Se
4.420 -11.990 5.938 Se
0.000 0.000 0.000 Sn
4.157 -1.895 3.122 Sn
-1.989 -10.130 1.403 Tl
4.525 -6.706 4.617 Tl

#C
TlSnAuSe3, optimized geometry, DFT PBE-GGA; mass density = 7.37 g cm⁻³; space-group type = Pnma (62)
1.0
-9.556 -5.530 -10.067
-2.644 -0.854 2.979
-4.620 10.150 -1.191
Au Se Sn Tl
4 12 4 4
Cartesian
-5.056 -2.141 -3.708 Au
-11.700 -0.806 -9.223 Au
-5.120 4.572 0.944 Au
-11.764 5.907 -4.571 Au
-1.873 -0.216 -0.332 Se
-8.559 -2.324 -4.085 Se
-10.232 -2.665 -8.453 Se
-5.539 0.288 -3.441 Se
-4.562 2.157 0.747 Se
-8.457 0.988 -5.831 Se
-8.363 2.779 -2.448 Se
-12.258 1.609 -9.026 Se
-11.281 3.478 -4.838 Se
-6.588 6.431 0.174 Se
-8.261 6.090 -4.194 Se
-14.947 3.982 -7.947 Se
-12.165 -4.560 -7.926 Sn
-8.275 0.157 -3.122 Sn
-8.544 3.609 -5.157 Sn
-4.655 8.326 -0.353 Sn
-7.711 -3.960 -6.587 Tl
-5.002 3.352 -2.087 Tl
-11.817 0.414 -6.192 Tl
-9.108 7.726 -1.692 Tl

#D
TlSnAuSe3, optimized geometry, DFT PBE-GGA; mass density = 8.06 g cm⁻³; space-group type = C2/m (12)
1.0
-4.785 2.100 7.039
-7.577 1.017 4.291
2.168 -8.945 1.323
Au Se Sn Tl
2 6 2 2
Cartesian
-5.517 -1.006 6.002 Au
-4.676 -4.820 6.651 Au
-6.181 1.559 5.665 Se
-3.767 -0.778 4.134 Se
-7.324 -1.145 7.892 Se
1.084 -4.472 0.661 Se
-2.869 -4.682 4.761 Se
-6.426 -5.049 8.519 Se
-9.339 -1.108 9.925 Sn
-0.854 -4.719 2.728 Sn
-1.603 -0.178 1.699 Tl
-8.591 -5.649 10.955 Tl

Most stable: #A

#A
TlSnAuSe3, optimized geometry, DFT PBE-GGA; mass density = 8.19 g cm⁻³; space-group type = Pnma (62)
1.0
11.205 0.000 0.000
0.000 4.066 0.000
0.000 0.000 13.478
Au Se Sn Tl
4 12 4 4
Cartesian
8.391 3.049 1.636 Au
2.789 3.049 5.103 Au
8.417 1.016 8.375 Au
2.814 1.016 11.842 Au
5.888 3.049 1.430 Se
10.895 3.049 1.434 Se
2.787 1.016 2.948 Se
8.390 1.016 3.791 Se
5.292 3.049 5.305 Se
0.286 3.049 5.309 Se
10.919 1.016 8.169 Se
5.913 1.016 8.172 Se
2.816 3.049 9.687 Se
8.418 3.049 10.530 Se
0.310 1.016 12.044 Se
5.317 1.016 12.047 Se
5.587 1.016 3.367 Sn
11.189 1.016 3.372 Sn
0.016 3.049 10.106 Sn
5.619 3.049 10.110 Sn
2.793 3.049 0.618 Tl
8.396 3.049 6.121 Tl
2.809 1.016 7.357 Tl
8.412 1.016 12.860 Tl

#B
TlSnAuSe3, optimized geometry, DFT PBE-GGA; mass density = 7.48 g cm⁻³; space-group type = P2_1/m (11)
1.0
8.535 0.000 0.000
0.000 4.027 0.000
-3.039 0.000 9.784
Au Se Sn Tl
2 6 2 2
Cartesian
-0.995 3.020 3.936 Au
6.490 1.007 5.848 Au
3.283 3.020 1.272 Se
7.129 3.020 1.479 Se
4.729 1.007 4.076 Se
0.767 3.020 5.708 Se
-1.633 1.007 8.304 Se
2.213 1.007 8.512 Se
5.264 1.007 1.437 Sn
0.232 3.020 8.347 Sn
1.476 1.007 3.362 Tl
4.020 3.020 6.421 Tl

Most stable: #B